Record 1
# MgTa2OsPt

MgTa2OsPt after structural relaxation (GGA-PBEsol, the Alexandria database).

Unit cell a=4.798 b=4.798 c=4.507 alpha=90.00 beta=90.00 gamma=90.00
Space group P4/mmm (No. 123)
One atom of each set of equivalent atoms:
1 Mg 0.000 0.000 0.000 [1 per cell]
2 Ta 0.000 0.500 0.500 [2 per cell]
3 Os 0.500 0.500 0.000 [1 per cell]
4 Pt 0.000 0.000 0.500 [1 per cell]

Summary:
For the energy of formation, the calculation gives 1389 meV per atom.



Record 2
# RbMgZr2Os

RbMgZr2Os after structural relaxation (GGA-PBEsol, the Alexandria database).

Unit cell a=4.894 b=4.894 c=4.760 alpha=90.00 beta=90.00 gamma=90.00
Space group P4/mmm (No. 123)
One atom of each set of equivalent atoms:
1 Rb 0.000 0.000 0.000 [1 per cell]
2 Mg 0.500 0.500 0.500 [1 per cell]
3 Zr 0.000 0.500 0.000 [2 per cell]
4 Os 0.000 0.000 0.500 [1 per cell]

Summary:
For the energy of formation, the calculation gives 2194 meV per atom.



Record 3
# MgReOs3

MgReOs3 after structural relaxation (GGA-PBEsol, the Alexandria database).

Unit cell a=4.679 b=4.679 c=4.679 alpha=90.00 beta=90.00 gamma=90.00
Space group Pm-3m (No. 221)
One atom of each set of equivalent atoms:
1 Mg 0.000 0.000 0.000 [1 per cell]
2 Re 0.500 0.500 0.500 [1 per cell]
3 Os 0.000 0.500 0.500 [3 per cell]

Summary:
For the energy of formation, the calculation gives 2008 meV per atom.



Record 4
# Mg2ReOs

Mg2ReOs after structural relaxation (GGA-PBEsol, the Alexandria database).

Unit cell a=2.685 b=4.503 c=5.151 alpha=90.00 beta=100.82 gamma=90.00
Space group P2/m (No. 10)
One atom of each set of equivalent atoms:
1 Mg 0.238 0.000 0.251 [2 per cell]
2 Re 0.500 0.500 0.000 [1 per cell]
3 Os 0.000 0.500 0.500 [1 per cell]

Summary:
For the energy of formation, the calculation gives 336 meV per atom.



Record 5
# MgOs3Rh

MgOs3Rh after structural relaxation (GGA-PBEsol, the Alexandria database).

Unit cell a=4.632 b=4.632 c=4.632 alpha=90.00 beta=90.00 gamma=90.00
Space group Pm-3m (No. 221)
One atom of each set of equivalent atoms:
1 Mg 0.000 0.000 0.000 [1 per cell]
2 Os 0.000 0.500 0.500 [3 per cell]
3 Rh 0.500 0.500 0.500 [1 per cell]

Summary:
For the energy of formation, the calculation gives 2225 meV per atom. The energy above the most stable polymorph in this dataset comes out at 0 meV/atom.



Record 6
# MgOs2Rh

MgOs2Rh after structural relaxation (GGA-PBEsol, the Alexandria database).

Unit cell a=9.043 b=2.725 c=4.753 alpha=90.00 beta=100.69 gamma=90.00
Space group Cm (No. 8)
One atom of each set of equivalent atoms:
1 Mg 0.000 0.000 0.000 [2 per cell]
2 Os 0.234 0.000 0.673 [2 per cell]
3 Os 0.489 0.000 0.504 [2 per cell]
4 Rh 0.254 0.500 0.180 [2 per cell]

Summary:
For the energy of formation, the calculation gives 117 meV per atom.



Record 7
# MgOs2Rh

MgOs2Rh after structural relaxation (GGA-PBEsol, the Alexandria database).

Unit cell a=2.841 b=4.405 c=4.585 alpha=90.00 beta=90.00 gamma=90.00
Space group Pmmm (No. 47)
One atom of each set of equivalent atoms:
1 Mg 0.000 0.000 0.000 [1 per cell]
2 Os 0.000 0.500 0.500 [1 per cell]
3 Os 0.500 0.000 0.500 [1 per cell]
4 Rh 0.500 0.500 0.000 [1 per cell]

Summary:
For the energy of formation, the calculation gives 252 meV per atom.



Record 8
# Mg3OsRh

Mg3OsRh after structural relaxation (GGA-PBEsol, the Alexandria database).

Unit cell a=4.798 b=4.798 c=4.798 alpha=90.00 beta=90.00 gamma=90.00
Space group Pm-3m (No. 221)
One atom of each set of equivalent atoms:
1 Mg 0.000 0.000 0.500 [3 per cell]
2 Os 0.000 0.000 0.000 [1 per cell]
3 Rh 0.500 0.500 0.500 [1 per cell]

Summary:
For the energy of formation, the calculation gives 1150 meV per atom.